# 1
Here is CuSiNi2 at its PBEsol-relaxed geometry from Alexandria via LeMat-Bulk. Energies are from meta-GGA SCAN.

Geometry as POSCAR:
```
CuSiNi2
1.0
3.4654 0.0000 0.0000
0.0000 3.4654 0.0000
-1.7327 -1.7327 3.5606
Cu Ni Si
1 2 1
direct
0.2500 0.7500 0.5000 Cu
0.7500 0.2500 0.5000 Ni
0.0000 0.0000 0.0000 Ni
0.5000 0.5000 0.0000 Si
```

Output
The calculation puts the spin magnetization at 0.00 μB per formula unit. For the total energy, the calculation gives -14.672 eV per atom. The calculation puts the density of states at the Fermi level at 2.32 states/eV/f.u. As for the uncorrected formation energy: -281.2 meV/atom.

---

# 2
Here is TaMnCo2 at its PBEsol-relaxed geometry from Alexandria via LeMat-Bulk. Energies are from meta-GGA SCAN.

Geometry as POSCAR:
```
TaMnCo2
1.0
3.0156 0.0000 0.0000
0.0000 3.0156 0.0000
0.0000 0.0000 5.3474
Co Ta Mn
2 1 1
direct
0.0000 0.0000 0.0130 Co
0.5000 0.5000 0.2638 Co
0.5000 0.5000 0.7607 Ta
0.0000 0.0000 0.4625 Mn
```

Output
The calculation puts the spin magnetization at 3.03 μB per formula unit. The calculation puts the energy of formation from the pure elements at 0.00 eV/atom. For the total energy, the calculation gives -29.865 eV per atom. The calculation puts the density of states at the Fermi level at 2.79 states/eV/f.u.

---

# 3
Here is Rb3AlAu at its PBEsol-relaxed geometry from Alexandria via LeMat-Bulk. Energies are from meta-GGA SCAN.

Geometry as POSCAR:
```
Rb3AlAu
1.0
6.3749 0.0000 0.0000
0.0000 6.3749 0.0000
0.0000 0.0000 6.3749
Al Rb Au
1 3 1
direct
0.5000 0.5000 0.5000 Al
0.0000 0.0000 0.5000 Rb
0.0000 0.5000 0.0000 Rb
0.5000 0.0000 0.0000 Rb
0.0000 0.0000 0.0000 Au
```

Output
The calculation puts the spin magnetization at 0.00 μB per formula unit. The calculation puts the energy of formation from the pure elements at 0.22 eV/atom. For the total energy, the calculation gives -27.608 eV per atom. The calculation puts the density of states at the Fermi level at 4.16 states/eV/f.u.

---

# 4
Here is Na3VP3NO9 at its PBEsol-relaxed geometry from Alexandria via LeMat-Bulk. Energies are from meta-GGA SCAN.

Geometry as POSCAR:
```
Na3VP3NO9
1.0
9.4418 0.0000 0.0000
0.0000 9.4418 0.0000
0.0000 0.0000 9.4418
Na O N P V
12 36 4 12 4
direct
0.1986 0.3014 0.6986 Na
0.5095 0.4905 0.9905 Na
0.3927 0.3927 0.3927 Na
0.3014 0.6986 0.1986 Na
0.0095 0.0095 0.0095 Na
0.8014 0.8014 0.8014 Na
0.6073 0.8927 0.1073 Na
0.9905 0.5095 0.4905 Na
0.4905 0.9905 0.5095 Na
0.8927 0.1073 0.6073 Na
0.6986 0.1986 0.3014 Na
0.1073 0.6073 0.8927 Na
0.1892 0.5490 0.6675 O
0.6497 0.7706 0.5246 O
0.4754 0.1497 0.7294 O
0.7294 0.4754 0.1497 O
0.3731 0.0022 0.1095 O
0.0022 0.1095 0.3731 O
0.5246 0.6497 0.7706 O
0.1497 0.7294 0.4754 O
0.8731 0.4978 0.8905 O
0.3108 0.4510 0.1675 O
0.3325 0.6892 0.9510 O
0.6095 0.1269 0.9978 O
0.5490 0.6675 0.1892 O
0.8905 0.8731 0.4978 O
0.6675 0.1892 0.5490 O
0.0490 0.8325 0.8108 O
0.3503 0.2706 0.9754 O
0.7706 0.5246 0.6497 O
0.2294 0.0246 0.8503 O
0.3905 0.6269 0.5022 O
0.8325 0.8108 0.0490 O
0.8108 0.0490 0.8325 O
0.6892 0.9510 0.3325 O
0.1095 0.3731 0.0022 O
0.2706 0.9754 0.3503 O
0.0246 0.8503 0.2294 O
0.1675 0.3108 0.4510 O
0.4510 0.1675 0.3108 O
0.4978 0.8905 0.8731 O
0.8503 0.2294 0.0246 O
0.5022 0.3905 0.6269 O
0.9754 0.3503 0.2706 O
0.9978 0.6095 0.1269 O
0.1269 0.9978 0.6095 O
0.9510 0.3325 0.6892 O
0.6269 0.5022 0.3905 O
0.6963 0.3037 0.8037 N
0.1963 0.1963 0.1963 N
0.8037 0.6963 0.3037 N
0.3037 0.8037 0.6963 N
0.1679 0.9164 0.7444 P
0.0836 0.2444 0.3321 P
0.9164 0.7444 0.1679 P
0.4164 0.7556 0.8321 P
0.3321 0.0836 0.2444 P
0.2444 0.3321 0.0836 P
0.7556 0.8321 0.4164 P
0.7444 0.1679 0.9164 P
0.6679 0.5836 0.2556 P
0.2556 0.6679 0.5836 P
0.5836 0.2556 0.6679 P
0.8321 0.4164 0.7556 P
0.4198 0.0802 0.9198 V
0.0802 0.9198 0.4198 V
0.5802 0.5802 0.5802 V
0.9198 0.4198 0.0802 V
```

Output
The calculation puts the spin magnetization at 2.00 μB per formula unit. For the total energy, the calculation gives -9.842 eV per atom. As for the uncorrected formation energy: -2388.9 meV/atom.

---

# 5
Here is Ba4IrCl at its PBEsol-relaxed geometry from Alexandria via LeMat-Bulk. Energies are from meta-GGA SCAN.

Geometry as POSCAR:
```
Ba4IrCl
1.0
-0.8958 4.0793 5.1865
-1.5605 -2.4999 5.9715
4.4658 0.1379 4.9377
Ba Ir Cl
4 1 1
direct
0.3745 0.8765 0.3745 Ba
0.3745 0.3745 0.3745 Ba
0.8765 0.3745 0.3745 Ba
0.3745 0.3745 0.8765 Ba
0.0000 0.0000 0.0000 Ir
0.7500 0.7500 0.7500 Cl
```

Output
The calculation puts the spin magnetization at 0.00 μB per formula unit. For the total energy, the calculation gives -39.040 eV per atom. The calculation puts the density of states at the Fermi level at 5.08 states/eV/f.u. As for the uncorrected formation energy: 506.4 meV/atom.

---

# 6
Here is CdHg at its PBEsol-relaxed geometry from Alexandria via LeMat-Bulk. Energies are from meta-GGA SCAN.

Geometry as POSCAR:
```
CdHg
1.0
-2.8384 -0.2996 -1.3001
0.6525 -1.4640 2.6958
-1.6153 4.0538 2.5924
Hg Cd
1 1
direct
0.6667 0.3333 0.5000 Hg
0.0000 0.0000 0.0000 Cd
```

Output
The calculation puts the spin magnetization at 0.00 μB per formula unit. The calculation puts the energy of formation from the pure elements at 0.04 eV/atom. For the total energy, the calculation gives -49.247 eV per atom. The calculation puts the density of states at the Fermi level at 0.80 states/eV/f.u.

---

# 7
Here is KBa3 at its PBEsol-relaxed geometry from Alexandria via LeMat-Bulk. Energies are from meta-GGA SCAN.

Geometry as POSCAR:
```
KBa3
1.0
4.2638 0.0000 0.0217
0.0000 7.0868 0.0000
-1.2688 0.0000 8.0798
Ba K
3 1
direct
0.2673 0.0000 0.2564 Ba
0.0000 0.5000 0.5000 Ba
0.7327 0.0000 0.7436 Ba
0.5000 0.5000 0.0000 K
```

Output
The calculation puts the spin magnetization at 0.09 μB per formula unit. The calculation puts the energy of formation from the pure elements at 0.08 eV/atom. For the total energy, the calculation gives -31.665 eV per atom. The calculation puts the density of states at the Fermi level at 5.73 states/eV/f.u.

---

# 8
Here is PIrW at its PBEsol-relaxed geometry from Alexandria via LeMat-Bulk. Energies are from meta-GGA SCAN.

Geometry as POSCAR:
```
PIrW
1.0
2.8133 0.0000 0.0000
0.0000 4.1464 0.0000
0.0000 -2.0732 3.5909
W P Ir
1 1 1
direct
0.4345 0.3333 0.6667 W
0.6525 0.6667 0.3333 P
0.9130 0.0000 0.0000 Ir
```

Output
The calculation puts the spin magnetization at 0.00 μB per formula unit. The calculation puts the energy of formation from the pure elements at 0.00 eV/atom. For the total energy, the calculation gives -50.400 eV per atom. The calculation puts the density of states at the Fermi level at 1.35 states/eV/f.u.

---

# 9
Here is Zr2CoSi at its PBEsol-relaxed geometry from Alexandria via LeMat-Bulk. Energies are from meta-GGA SCAN.

Geometry as POSCAR:
```
Zr2CoSi
1.0
3.8641 0.0000 0.0000
1.9321 3.3464 0.0000
1.9321 1.1155 5.3942
Si Co Zr
1 1 2
direct
0.1984 0.1984 0.4049 Si
0.5583 0.5583 0.3252 Co
0.7726 0.7726 0.6823 Zr
0.9708 0.9708 0.0876 Zr
```

Output
The calculation puts the spin magnetization at 0.00 μB per formula unit. For the total energy, the calculation gives -22.641 eV per atom. The calculation puts the density of states at the Fermi level at 3.53 states/eV/f.u. As for the uncorrected formation energy: -461.6 meV/atom.

---

# 10
Here is Te2MoBr at its PBEsol-relaxed geometry from Alexandria via LeMat-Bulk. Energies are from meta-GGA SCAN.

Geometry as POSCAR:
```
Te2MoBr
1.0
4.9353 0.0000 0.0000
2.4677 4.2741 0.0000
2.4677 1.4247 4.0297
Br Te Mo
1 2 1
direct
0.5000 0.5000 0.5000 Br
0.7500 0.7500 0.7500 Te
0.0000 0.0000 0.0000 Te
0.2500 0.2500 0.2500 Mo
```

Output
The calculation puts the spin magnetization at 0.01 μB per formula unit. For the total energy, the calculation gives -31.390 eV per atom. The calculation puts the density of states at the Fermi level at 3.48 states/eV/f.u. As for the uncorrected formation energy: 821.9 meV/atom.